Entry 1:
VASP calculation (PBE) on an optimized crystal structure of BaSe2BrF.

abc: 4.5877 4.5877 6.1916
angles: 90.00 90.00 90.00
Space group P4/mmm (No. 123)
Asymmetric unit:
Ba 0.0000 0.0000 0.0000
Se 0.0000 0.5000 0.5000
Br 0.5000 0.5000 0.0000
F 0.5000 0.5000 0.5000

## Properties
Theoretical density ... 5.02 Mg/m³
DOS(E_F) ... 0.58 states/eV per atom
Raw total energy ... -3.51 eV per atom
Formation energy without anion corrections ... -1.02 eV per atom
Energy above the most stable polymorph in this dataset ... 0 meV/atom



Entry 2:
VASP calculation (PBE) on an optimized crystal structure of NdDyZnSi.

abc: 4.0849 4.2376 11.1169
angles: 90.00 90.00 90.00
Space group Amm2 (No. 38)
Asymmetric unit:
Nd 0.0000 0.0000 0.0000
Dy 0.5000 0.0000 0.2850
Zn 0.5000 0.0000 0.5806
Si 0.0000 0.0000 0.7191

## Properties
Theoretical density ... 6.91 Mg/m³
DOS(E_F) ... 1.00 states/eV per atom
Raw total energy ... -4.55 eV per atom
Formation energy without anion corrections ... -0.54 eV per atom
Energy above the most stable polymorph in this dataset ... 0 meV/atom



Entry 3:
VASP calculation (PBE) on an optimized crystal structure of Bi2H2Br5.

abc: 8.2028 9.8907 16.1582
angles: 90.00 90.00 90.00
Space group Fmmm (No. 69)
Asymmetric unit:
Bi 0.0000 0.2139 0.0000
H 0.0000 0.0000 0.2489
Br 0.0000 0.0000 0.5000
Br 0.2500 0.2500 0.1251

## Properties
Theoretical density ... 4.15 Mg/m³
DOS(E_F) ... 0.19 states/eV per atom
Raw total energy ... -2.48 eV per atom



Entry 4:
VASP calculation (PBE) on an optimized crystal structure of TiAg5Se4.

abc: 15.7359 4.0343 7.5678
angles: 90.00 116.13 90.00
Space group C2/m (No. 12)
Asymmetric unit:
Ti 0.0000 0.0000 0.0000
Ag 0.0000 0.0000 0.5000
Ag 0.1500 0.5000 0.6488
Ag 0.2083 0.5000 0.3415
Se 0.0088 0.5000 0.2532
Se 0.1735 0.0000 0.0848

## Properties
Theoretical density ... 6.95 Mg/m³
DOS(E_F) ... 0.36 states/eV per atom
Raw total energy ... -3.80 eV per atom
Formation energy without anion corrections ... -0.19 eV per atom